[1]
Density functional theory data (PBE) for Ta2MoPt2 after structural relaxation.

Output
DOS(E_F)	9.3	states/eV per cell
energy of formation	-127	kJ/mol of formula units

Cell: 7.835 7.835 2.803 Å, 90.00 90.00 90.00°
Space group P4/mbm (No. 127)
Symmetry-distinct sites (fractional):
Ta 0.173 0.327 0.000 x4
Mo 0.000 0.000 0.500 x2
Pt 0.125 0.625 0.500 x4

=====

[2]
Density functional theory data (PBE) for TaMoPt after structural relaxation.

Output
DOS(E_F)	6.5	states/eV per cell
energy of formation	-86	kJ/mol of formula units

Cell: 8.324 5.040 5.551 Å, 90.00 122.11 90.00°
Space group C2 (No. 5)
Symmetry-distinct sites (fractional):
Ta 0.000 0.000 0.000 x2
Ta 0.000 0.225 0.500 x2
Mo 0.174 0.511 0.010 x4
Pt 0.170 0.698 0.507 x4

=====

[3]
Density functional theory data (PBE) for Ta6Mo5Pt after structural relaxation.

Output
DOS(E_F)	10.8	states/eV per cell
energy of formation	-346	kJ/mol of formula units

Cell: 4.573 6.441 13.706 Å, 90.00 90.00 90.00°
Space group Immm (No. 71)
Symmetry-distinct sites (fractional):
Ta 0.000 0.242 0.000 x4
Ta 0.000 0.254 0.331 x8
Mo 0.000 0.000 0.167 x4
Mo 0.000 0.500 0.163 x4
Mo 0.000 0.500 0.500 x2
Pt 0.000 0.000 0.500 x2

=====

[4]
Density functional theory data (PBE) for TaMoPt after structural relaxation.

Output
DOS(E_F)	6.3	states/eV per cell
energy of formation	-51	kJ/mol of formula units

Cell: 2.781 3.985 8.965 Å, 90.00 90.00 90.00°
Space group Imm2 (No. 44)
Symmetry-distinct sites (fractional):
Ta 0.000 0.000 0.000 x2
Mo 0.000 0.000 0.665 x2
Pt 0.000 0.000 0.332 x2

=====

[5]
Density functional theory data (PBE) for Ta4Mo3Pt after structural relaxation.

Output
DOS(E_F)	4.2	states/eV per cell
energy of formation	-241	kJ/mol of formula units

Cell: 3.268 4.565 9.039 Å, 90.00 90.00 90.00°
Space group Pmmm (No. 47)
Symmetry-distinct sites (fractional):
Ta 0.000 0.000 0.000 x1
Ta 0.000 0.000 0.500 x1
Ta 0.000 0.500 0.244 x2
Mo 0.500 0.000 0.257 x2
Mo 0.500 0.500 0.000 x1
Pt 0.500 0.500 0.500 x1

=====

[6]
Density functional theory data (PBE) for TaMo2Pt after structural relaxation.

Output
DOS(E_F)	7.3	states/eV per cell
energy of formation	-65	kJ/mol of formula units

Cell: 3.540 4.375 8.438 Å, 90.00 90.00 90.00°
Space group Imm2 (No. 44)
Symmetry-distinct sites (fractional):
Ta 0.000 0.000 0.000 x2
Mo 0.000 0.000 0.523 x2
Mo 0.000 0.500 0.255 x2
Pt 0.000 0.500 0.760 x2

=====

[7]
Density functional theory data (PBE) for TaMoPt2 after structural relaxation.

Output
DOS(E_F)	3.6	states/eV per cell
energy of formation	-106	kJ/mol of formula units

Cell: 4.864 2.844 4.937 Å, 90.00 109.06 90.00°
Space group P2/m (No. 10)
Symmetry-distinct sites (fractional):
Ta 0.000 0.000 0.000 x1
Mo 0.500 0.500 0.000 x1
Pt 0.000 0.500 0.500 x1
Pt 0.500 0.000 0.500 x1

=====

[8]
Density functional theory data (PBE) for TaMoPt2 after structural relaxation.

Output
DOS(E_F)	2.7	states/eV per cell
energy of formation	-178	kJ/mol of formula units

Cell: 2.788 2.788 8.212 Å, 90.00 90.00 90.00°
Space group P4/mmm (No. 123)
Symmetry-distinct sites (fractional):
Ta 0.000 0.000 0.000 x1
Mo 0.000 0.000 0.500 x1
Pt 0.500 0.500 0.251 x2

=====

[9]
Density functional theory data (PBE) for TaMo2Pt after structural relaxation.

Output
DOS(E_F)	14.2	states/eV per cell
energy of formation	40	kJ/mol of formula units

Cell: 2.8093 2.8093 29.0314 Å, 90.00 90.00 120.00°
Space group R-3m (No. 166, hexagonal axes)
Symmetry-distinct sites (fractional):
Ta 0.0000 0.0000 0.0000 x3
Mo 0.0000 0.0000 0.2464 x6
Pt 0.0000 0.0000 0.5000 x3

=====

[10]
Density functional theory data (PBE) for TaMoPt2 after structural relaxation.

Output
DOS(E_F)	9.3	states/eV per cell
energy of formation	-71	kJ/mol of formula units

Cell: 2.8194 2.8194 28.5171 Å, 90.00 90.00 120.00°
Space group R3m (No. 160, hexagonal axes)
Symmetry-distinct sites (fractional):
Ta 0.0000 0.0000 0.0000 x3
Mo 0.0000 0.0000 0.7563 x3
Pt 0.0000 0.0000 0.2536 x3
Pt 0.0000 0.0000 0.5007 x3

=====

[11]
Density functional theory data (PBE) for TaMo2Pt after structural relaxation.

Output
DOS(E_F)	4.4	states/eV per cell
energy of formation	-73	kJ/mol of formula units

Cell: 3.289 3.289 6.081 Å, 90.00 90.00 90.00°
Space group P4mm (No. 99)
Symmetry-distinct sites (fractional):
Ta 0.000 0.000 0.000 x1
Mo 0.000 0.000 0.486 x1
Mo 0.500 0.500 0.261 x1
Pt 0.500 0.500 0.762 x1

=====

[12]
Density functional theory data (PBE) for TaMoPt after structural relaxation.

Output
DOS(E_F)	5.4	states/eV per cell
energy of formation	-81	kJ/mol of formula units

Cell: 4.5350 4.5350 5.5688 Å, 90.00 90.00 120.00°
Space group P3m1 (No. 156)
Symmetry-distinct sites (fractional):
Ta 0.0000 0.0000 0.0000 x1
Ta 0.3333 0.6667 0.7934 x1
Mo 0.3333 0.6667 0.2722 x1
Mo 0.6667 0.3333 0.1939 x1
Pt 0.0000 0.0000 0.4964 x1
Pt 0.6667 0.3333 0.7029 x1